1.
Crystalline BaAlPt2 at its relaxed geometry. Source: Alexandria via LeMat-Bulk, functional PBE-GGA.

Structure (CIF):
```
data_BaAlPt2
_chemical_formula_sum 'Ba2 Al2 Pt4'
_cell_length_a 4.127
_cell_length_b 6.046
_cell_length_c 7.808
_cell_angle_alpha 90.00
_cell_angle_beta 90.00
_cell_angle_gamma 90.00
_symmetry_space_group_name_H-M 'I m m m'
_symmetry_Int_Tables_number 71
_symmetry_space_group_name_Hall '-I 2 2'
loop_
_atom_site_label
_atom_site_type_symbol
_atom_site_fract_x
_atom_site_fract_y
_atom_site_fract_z
_atom_site_occupancy
Ba1 Ba 0.000 0.000 0.000 1
Al1 Al 0.000 0.000 0.500 1
Pt1 Pt 0.000 0.500 0.180 1
```

## Properties
As for the energy: -4.936 eV/atom. Its formation energy is -0.50 eV/atom.

=====

2.
Crystalline K3Rb4O2 at its relaxed geometry. Source: Alexandria via LeMat-Bulk, functional PBE-GGA.

Structure (CIF):
```
data_K3Rb4O2
_chemical_formula_sum 'K12 Rb16 O8'
_cell_length_a 21.370
_cell_length_b 12.774
_cell_length_c 7.425
_cell_angle_alpha 90.00
_cell_angle_beta 108.50
_cell_angle_gamma 90.00
_symmetry_space_group_name_H-M 'C 1 2/c 1'
_symmetry_Int_Tables_number 15
loop_
_symmetry_equiv_pos_as_xyz
'x,y,z'
'-x,-y,-z'
'-x,y,-z+1/2'
'x,-y,z+1/2'
'x+1/2,y+1/2,z'
'-x+1/2,-y+1/2,-z'
'-x+1/2,y+1/2,-z+1/2'
'x+1/2,-y+1/2,z+1/2'
loop_
_atom_site_label
_atom_site_type_symbol
_atom_site_fract_x
_atom_site_fract_y
_atom_site_fract_z
_atom_site_occupancy
K1 K 0.000 0.172 0.250 1
K2 K 0.158 0.452 0.204 1
Rb1 Rb 0.169 0.236 0.831 1
Rb2 Rb 0.198 0.064 0.278 1
O1 O 0.230 0.418 0.974 1
```

## Properties
As for the energy: -2.537 eV/atom.